# 1
Below is crystalline LiHfPCl2 at its relaxed geometry, with properties calculated at the PBE-GGA level.

Cell lengths 5.016, 5.016, 5.050 Å; angles 90.00, 90.00, 90.00 degrees
Space group P4/mmm (No. 123)
Unique sites:
Li 0.000 0.000 0.000
Hf 0.500 0.500 0.500
P 0.500 0.500 0.000
Cl 0.000 0.500 0.500

Computed properties:
Formation energy (no corrections)   -0.899 eV/atom
Distance to the lowest polymorph of the same formula   0.00 kcal/mol of atoms
Total magnetic moment   0.0 μB/f.u.

# 2
Below is crystalline LiHfP2Cl at its relaxed geometry, with properties calculated at the PBE-GGA level.

Cell lengths 4.443, 4.443, 4.332 Å; angles 90.00, 90.00, 90.00 degrees
Space group P4/mmm (No. 123)
Unique sites:
Li 0.000 0.000 0.000
Hf 0.500 0.500 0.500
P 0.000 0.500 0.000
Cl 0.000 0.000 0.500

Computed properties:
Formation energy (no corrections)   0.160 eV/atom
Distance to the lowest polymorph of the same formula   13.42 kcal/mol of atoms
Total magnetic moment   0.0 μB/f.u.

# 3
Below is crystalline LiHfP2Cl at its relaxed geometry, with properties calculated at the PBE-GGA level.

Cell lengths 4.973, 4.973, 5.169 Å; angles 90.00, 90.00, 90.00 degrees
Space group P4/mmm (No. 123)
Unique sites:
Li 0.000 0.000 0.000
Hf 0.500 0.500 0.500
P 0.000 0.500 0.500
Cl 0.500 0.500 0.000

Computed properties:
Formation energy (no corrections)   -0.422 eV/atom
Distance to the lowest polymorph of the same formula   0.00 kcal/mol of atoms
Total magnetic moment   0.0 μB/f.u.

Please write out number 3 again, unchanged.
Below is crystalline LiHfP2Cl at its relaxed geometry, with properties calculated at the PBE-GGA level.

Cell lengths 4.973, 4.973, 5.169 Å; angles 90.00, 90.00, 90.00 degrees
Space group P4/mmm (No. 123)
Unique sites:
Li 0.000 0.000 0.000
Hf 0.500 0.500 0.500
P 0.000 0.500 0.500
Cl 0.500 0.500 0.000

Computed properties:
Formation energy (no corrections)   -0.422 eV/atom
Distance to the lowest polymorph of the same formula   0.00 kcal/mol of atoms
Total magnetic moment   0.0 μB/f.u.

- What is the formula in the third record?
  LiHfP2Cl

- Among the records above, which one has the highest distance to the lowest polymorph of the same formula?
  number 2